Record 1
SrCuIr2: optimized geometry, PBE.

```
SrCuIr2
1.0
-3.586 -2.824 -3.657
-4.432 -3.208 2.067
2.719 5.129 -0.715
Cu Ir Sr
1 2 1
direct
0.214 0.714 0.500
0.999 0.999 0.000
0.787 0.287 0.500
0.500 0.500 0.000
```

Values from the calculation:
Fermi-level density of states ... 3.9 states/eV/cell
Energy of formation ... 1.5 eV per formula unit
Magnetization ... 0.3 μB per cell
Distance to the lowest polymorph of the same formula ... 191 meV per atom
SG ... Imm2 (44)



Record 2
La4Pr3In2: optimized geometry, PBE.

```
La4Pr3In2
1.0
-3.344 2.286 -4.658
-1.362 -3.523 -4.871
-10.160 -3.762 -1.519
La Pr In
4 3 2
direct
0.308 0.350 0.999
0.836 0.583 0.654
0.164 0.417 0.346
0.692 0.650 0.001
0.519 0.220 0.656
0.000 0.000 0.000
0.481 0.780 0.344
0.836 0.114 0.321
0.164 0.886 0.679
```

Values from the calculation:
Fermi-level density of states ... 11.0 states/eV/cell
Energy of formation ... -1.9 eV per formula unit
Magnetization ... 0.0 μB per cell
Distance to the lowest polymorph of the same formula ... 26 meV per atom
SG ... P-1 (2)



Record 3
In6Au5: optimized geometry, PBE.

```
In6Au5
1.0
6.770 0.156 -0.920
1.489 6.086 -3.405
-0.091 -0.248 6.983
In Au
6 5
direct
0.796 0.719 0.000
0.204 0.281 0.000
0.713 0.097 0.635
0.287 0.538 0.635
0.287 0.903 0.365
0.713 0.462 0.365
0.500 0.500 0.000
0.000 0.683 0.367
0.000 0.317 0.633
0.500 0.872 0.745
0.500 0.128 0.255
```

Values from the calculation:
Fermi-level density of states ... 3.5 states/eV/cell
Energy of formation ... -1.6 eV per formula unit
Magnetization ... 0.0 μB per cell
SG ... C2/m (12)



Record 4
ZrMnCr: optimized geometry, PBE.

```
ZrMnCr
1.0
-2.573 3.026 1.357
-3.628 0.716 -1.985
-3.634 -1.006 1.843
Cr Mn Zr
1 1 1
direct
0.500 0.500 0.500
0.750 0.750 0.750
0.000 0.000 0.000
```

Values from the calculation:
Fermi-level density of states ... 3.6 states/eV/cell
Energy of formation ... 1.6 eV per formula unit
Magnetization ... 0.6 μB per cell
Distance to the lowest polymorph of the same formula ... 669 meV per atom
SG ... F-43m (216)



Record 5
LaZn3CuNi: optimized geometry, PBE.

```
LaZn3CuNi
1.0
-0.635 -5.156 0.983
3.775 -1.432 -5.073
3.132 0.806 6.247
La Zn Cu Ni
2 6 2 2
direct
0.750 0.282 0.564
0.250 0.718 0.436
0.250 0.146 0.292
0.000 0.303 0.000
0.500 0.697 0.000
0.500 0.303 0.000
0.000 0.697 0.000
0.750 0.854 0.708
0.250 0.947 0.894
0.750 0.053 0.106
0.250 0.349 0.698
0.750 0.651 0.302
```

Values from the calculation:
Fermi-level density of states ... 7.1 states/eV/cell
Energy of formation ... -0.9 eV per formula unit
Magnetization ... 0.0 μB per cell
SG ... Cmcm (63)



Record 6
Ti5Rh3: optimized geometry, PBE.

```
Ti5Rh3
1.0
-0.083 -2.408 1.947
2.535 1.066 1.426
-7.338 6.733 8.012
Ti Rh
5 3
direct
0.000 0.000 0.244
0.500 0.500 0.623
0.500 0.500 0.377
0.000 0.000 0.756
0.000 0.000 0.000
0.500 0.500 0.119
0.500 0.500 0.881
0.000 0.000 0.500
```

Values from the calculation:
Fermi-level density of states ... 5.9 states/eV/cell
Energy of formation ... -5.2 eV per formula unit
Magnetization ... 0.0 μB per cell
SG ... P4/mmm (123)